1.
The following is a DFT calculation (PBE-GGA) of crystalline AgSb2Se3 at its relaxed geometry.

Cell lengths 6.204, 12.202, 8.468 Å; angles 90.00, 93.86, 90.00 degrees
Space group P2_1/c (No. 14)
Unique sites:
Ag  0.228  0.099  0.341 x4
Sb  0.238  0.741  0.849 x4
Sb  0.250  0.084  0.842 x4
Se  0.214  0.588  0.139 x4
Se  0.285  0.576  0.640 x4
Se  0.308  0.234  0.615 x4

Calculated values
V = 639.60 Å³/cell
Uncorrected formation energy = -0.132 eV per atom
Energy above the most stable polymorph in this dataset = 0 meV per atom

2.
The following is a DFT calculation (PBE-GGA) of crystalline KYSb2 at its relaxed geometry.

Cell lengths 4.0345, 4.0345, 28.6960 Å; angles 90.00, 90.00, 120.00 degrees
Space group R-3m (No. 166, hexagonal axes)
Unique sites:
K  0.0000  0.0000  0.0000 x3
Y  0.0000  0.0000  0.5000 x3
Sb  0.0000  0.0000  0.2401 x6

Calculated values
V = 404.51 Å³/cell
Uncorrected formation energy = -0.516 eV per atom
Energy above the most stable polymorph in this dataset = 141 meV per atom

3.
The following is a DFT calculation (PBE-GGA) of crystalline BP2S at its relaxed geometry.

Cell lengths 5.527, 5.527, 7.729 Å; angles 90.00, 90.00, 90.00 degrees
Space group I-42d (No. 122)
Unique sites:
B  0.000  0.000  0.000 x4
P  0.181  0.750  0.125 x8
S  0.000  0.000  0.500 x4

Calculated values
V = 236.11 Å³/cell
Uncorrected formation energy = 0.339 eV per atom

4.
The following is a DFT calculation (PBE-GGA) of crystalline SmFeSi3Os at its relaxed geometry.

Cell lengths 7.376, 10.767, 5.454 Å; angles 90.00, 90.00, 90.00 degrees
Space group Cmcm (No. 63)
Unique sites:
Sm  0.000  0.245  0.250 x4
Fe  0.000  0.045  0.750 x4
Si  0.000  0.238  0.750 x4
Si  0.239  0.000  0.000 x8
Os  0.000  0.445  0.750 x4

Calculated values
V = 433.20 Å³/cell
Uncorrected formation energy = -0.339 eV per atom

5.
The following is a DFT calculation (PBE-GGA) of crystalline AgHg2OF2 at its relaxed geometry.

Cell lengths 13.483, 5.338, 5.490 Å; angles 90.00, 90.00, 90.00 degrees
Space group Cmc2_1 (No. 36)
Unique sites:
Ag  0.000  0.222  0.000 x4
Hg  0.139  0.218  0.433 x8
O  0.000  0.348  0.593 x4
F  0.199  0.321  0.884 x8

Calculated values
V = 395.18 Å³/cell
Uncorrected formation energy = -0.717 eV per atom

6.
The following is a DFT calculation (PBE-GGA) of crystalline LaMgZn2 at its relaxed geometry.

Cell lengths 3.434, 3.434, 7.616 Å; angles 90.00, 90.00, 90.00 degrees
Space group P4mm (No. 99)
Unique sites:
La  0.000  0.000  0.000 x1
Mg  0.500  0.500  0.337 x1
Zn  0.000  0.000  0.550 x1
Zn  0.500  0.500  0.724 x1

Calculated values
V = 89.79 Å³/cell
Calculated formation energy = -0.110 eV/atom

7.
The following is a DFT calculation (PBE-GGA) of crystalline HoNp2Ni9 at its relaxed geometry.

Cell lengths 4.8908, 4.8908, 24.4227 Å; angles 90.00, 90.00, 120.00 degrees
Space group R-3m (No. 166, hexagonal axes)
Unique sites:
Ho  0.0000  0.0000  0.0000 x3
Np  0.0000  0.0000  0.1440 x6
Ni  0.0000  0.0000  0.3329 x6
Ni  0.0000  0.0000  0.5000 x3
Ni  0.9999  0.5000  0.0824 x18

Calculated values
V = 505.93 Å³/cell
Calculated formation energy = -0.254 eV/atom

8.
The following is a DFT calculation (PBE-GGA) of crystalline Y2TaRe at its relaxed geometry.

Cell lengths 3.579, 4.735, 4.998 Å; angles 90.00, 90.00, 90.00 degrees
Space group Pmmm (No. 47)
Unique sites:
Y  0.000  0.000  0.000 x1
Y  0.500  0.500  0.000 x1
Ta  0.000  0.500  0.500 x1
Re  0.500  0.000  0.500 x1

Calculated values
V = 84.70 Å³/cell
Energy above the most stable polymorph in this dataset = 437 meV per atom
Calculated formation energy = 0.471 eV/atom